Arrangement w

## VPBrO2 (PBE+U)

Data for a relaxed VPBrO2 crystal.

Lattice parameters (Å, degrees): 3.715 3.715 5.364 90.00 90.00 90.00
Atoms (fractional coordinates):
O 0.000 0.500 0.000
O 0.500 0.000 0.000
Br 0.500 0.500 0.500
P 0.000 0.000 0.500
V 0.000 0.000 0.000

Calculated values
The space-group type is P4/mmm, No. 123. Its theoretical density is 4.348 g cm⁻³. The value obtained for the volume is 74.0 Å³ per cell. Its spin magnetization is 0.074 μB per atom.


Arrangement x

## VPBrO2 (PBE+U)

Data for a relaxed VPBrO2 crystal.

Lattice parameters (Å, degrees): 3.839 3.839 5.293 90.00 90.00 90.00
Atoms (fractional coordinates):
P 0.000 0.000 0.500
V 0.500 0.500 0.500
O 0.500 0.000 0.000
O 0.000 0.500 0.000
Br 0.000 0.000 0.000

Calculated values
The space-group type is P4/mmm, No. 123. Its theoretical density is 4.126 g cm⁻³. The value obtained for the volume is 78.0 Å³ per cell. Its spin magnetization is 0.520 μB per atom.


Which is most stable, and by how much? arrangement w, by 1342 meV per atom.